## 1
Material: AcPmSi4
Method: DFT, PBE
State: relaxed

Cell and atoms, written as POSCAR:
```
AcPmSi4
1.0
4.1483 0.0000 0.0000
-2.0741 3.5925 0.0000
0.0000 0.0000 8.7619
Ac Pm Si
1 1 4
Direct
0.0000 0.0000 0.0000
0.0000 0.0000 0.5000
0.3333 0.6667 0.2639
0.3333 0.6667 0.7361
0.6667 0.3333 0.2639
0.6667 0.3333 0.7361
```

Space group: P6/mmm
DOS at the Fermi energy (states/eV/f.u.): 1.239

## 2
Material: AcPmSi4
Method: DFT, PBE
State: relaxed

Cell and atoms, written as POSCAR:
```
AcPmSi4
1.0
8.0164 0.0000 0.0000
0.0000 15.6184 0.0000
0.0000 0.0000 4.3595
Ac Pm Si
4 4 16
Direct
0.1284 0.1511 0.0000
0.3716 0.6511 0.0000
0.6284 0.3489 0.0000
0.8716 0.8489 0.0000
0.1354 0.4111 0.0000
0.3646 0.9111 0.0000
0.6354 0.0889 0.0000
0.8646 0.5889 0.0000
0.0153 0.6947 0.5000
0.1162 0.9513 0.5000
0.1293 0.5478 0.5000
0.2130 0.8026 0.5000
0.2870 0.3026 0.5000
0.3707 0.0478 0.5000
0.3838 0.4513 0.5000
0.4847 0.1947 0.5000
0.5153 0.8053 0.5000
0.6162 0.5487 0.5000
0.6293 0.9522 0.5000
0.7130 0.6974 0.5000
0.7870 0.1974 0.5000
0.8707 0.4522 0.5000
0.8838 0.0487 0.5000
0.9847 0.3053 0.5000
```

Space group: Pbam
DOS at the Fermi energy (states/eV/f.u.): 1.795

Q: Which of them is the least stable? A: 2.